1.
Crystalline LaSm7Dy12 at its relaxed geometry, computed with PBE.

Unit cell a=8.751 b=8.751 c=8.751 alpha=88.77 beta=88.77 gamma=88.77
Sites, in units of the cell vectors:
La  0.000  0.000  0.000
Sm  0.001  0.638  0.122
Sm  0.122  0.001  0.638
Sm  0.362  0.878  0.999
Sm  0.500  0.500  0.500
Sm  0.638  0.122  0.001
Sm  0.878  0.999  0.362
Sm  0.999  0.362  0.878
Dy  0.114  0.345  0.443
Dy  0.224  0.634  0.762
Dy  0.238  0.776  0.366
Dy  0.345  0.443  0.114
Dy  0.366  0.238  0.776
Dy  0.443  0.114  0.345
Dy  0.557  0.886  0.655
Dy  0.634  0.762  0.224
Dy  0.655  0.557  0.886
Dy  0.762  0.224  0.634
Dy  0.776  0.366  0.238
Dy  0.886  0.655  0.557

***

2.
Crystalline HfIrS2Cl at its relaxed geometry, computed with PBE.

Unit cell a=4.671 b=4.671 c=4.559 alpha=90.00 beta=90.00 gamma=90.00
Sites, in units of the cell vectors:
Hf  0.000  0.000  0.000
Ir  0.500  0.500  0.500
S  0.000  0.500  0.500
S  0.500  0.000  0.500
Cl  0.500  0.500  0.000

Properties
ΔE_f (raw), eV/atom: 0.310

***

3.
Crystalline Na4Pr3BiO8 at its relaxed geometry, computed with PBE.

Unit cell a=7.036 b=7.036 c=7.036 alpha=61.60 beta=61.60 gamma=61.60
Sites, in units of the cell vectors:
Na  0.000  0.000  0.000
Na  0.000  0.500  0.500
Na  0.500  0.000  0.500
Na  0.500  0.500  0.000
Pr  0.000  0.000  0.500
Pr  0.000  0.500  0.000
Pr  0.500  0.000  0.000
Bi  0.500  0.500  0.500
O  0.239  0.239  0.239
O  0.240  0.741  0.741
O  0.259  0.259  0.760
O  0.259  0.760  0.259
O  0.741  0.240  0.741
O  0.741  0.741  0.240
O  0.760  0.259  0.259
O  0.761  0.761  0.761

Properties
ΔE_f (raw), eV/atom: -2.266

***

4.
Crystalline MgIrW2 at its relaxed geometry, computed with PBE.

Unit cell a=5.911 b=5.911 c=5.911 alpha=101.12 beta=101.12 gamma=127.91
Sites, in units of the cell vectors:
Mg  0.000  0.000  0.000
Mg  0.750  0.250  0.500
Ir  0.250  0.750  0.500
Ir  0.500  0.500  0.000
W  0.169  0.625  0.044
W  0.375  0.419  0.544
W  0.581  0.125  0.956
W  0.875  0.831  0.456

***

5.
Crystalline Pm5Tm4In at its relaxed geometry, computed with PBE.

Unit cell a=4.090 b=4.090 c=18.925 alpha=90.00 beta=90.00 gamma=90.00
Sites, in units of the cell vectors:
Pm  0.000  0.000  0.000
Pm  0.000  0.000  0.204
Pm  0.000  0.000  0.408
Pm  0.000  0.000  0.592
Pm  0.000  0.000  0.796
Tm  0.500  0.500  0.102
Tm  0.500  0.500  0.303
Tm  0.500  0.500  0.697
Tm  0.500  0.500  0.898
In  0.500  0.500  0.500

***

no.,N(E_F) (states/eV per cell),VASP energy (eV per atom)
1,36.74,-4.427
2,3.41,-5.474
3,0.00,-6.214
4,5.80,-8.387
5,16.22,-4.451